Record 1
Below is a geometry-optimized Ta2FeMo structure, with properties calculated at the PBEsol level.

## Properties
The value obtained for the density of states at the Fermi level is 0.751 states/eV/atom. The calculation puts the total energy at -11.487 eV/atom. The energy of formation from the pure elements comes out at -29 meV per atom. The polymorph energy (0 for the lowest one) is 0.148 eV per atom.

```
Ta2FeMo
1.0
3.211 0.000 0.000
0.000 4.460 0.000
0.000 0.000 8.516
Ta Fe Mo
4 2 2
Direct
0.000 0.000 0.234
0.000 0.000 0.766
0.500 0.500 0.234
0.500 0.500 0.766
0.000 0.500 0.000
0.500 0.000 0.000
0.000 0.500 0.500
0.500 0.000 0.500
```


Record 2
Below is a geometry-optimized ScCd2In structure, with properties calculated at the PBEsol level.

## Properties
The value obtained for the density of states at the Fermi level is 0.889 states/eV/atom. The calculation puts the total energy at -3.052 eV/atom. The energy of formation from the pure elements comes out at -57 meV per atom.

```
ScCd2In
1.0
3.223 0.000 0.000
-1.612 2.792 0.000
0.000 0.000 30.006
Sc Cd In
3 6 3
Direct
0.000 0.000 0.000
0.333 0.667 0.667
0.667 0.333 0.333
0.000 0.000 0.252
0.000 0.000 0.748
0.333 0.667 0.414
0.333 0.667 0.919
0.667 0.333 0.081
0.667 0.333 0.586
0.000 0.000 0.500
0.333 0.667 0.167
0.667 0.333 0.833
```


Record 3
Below is a geometry-optimized Mg2CuW structure, with properties calculated at the PBEsol level.

## Properties
The value obtained for the density of states at the Fermi level is 0.676 states/eV/atom. The calculation puts the total energy at -4.941 eV/atom. The energy of formation from the pure elements comes out at 453 meV per atom. The polymorph energy (0 for the lowest one) is 0.000 eV per atom.

```
Mg2CuW
1.0
2.724 0.000 0.000
0.000 4.343 0.000
-1.270 0.000 5.427
Mg Cu W
2 1 1
Direct
0.000 0.000 0.000
0.309 0.500 0.729
0.423 0.000 0.463
0.680 0.500 0.259
```


Record 4
Below is a geometry-optimized TaHg structure, with properties calculated at the PBEsol level.

## Properties
The value obtained for the density of states at the Fermi level is 1.169 states/eV/atom. The calculation puts the total energy at -4.613 eV/atom. The energy of formation from the pure elements comes out at 1946 meV per atom.

```
TaHg
1.0
6.030 0.000 0.000
0.000 6.030 0.000
0.000 0.000 6.030
Ta Hg
4 4
Direct
0.000 0.000 0.000
0.000 0.500 0.500
0.500 0.000 0.500
0.500 0.500 0.000
0.250 0.250 0.250
0.250 0.750 0.750
0.750 0.250 0.750
0.750 0.750 0.250
```